1.
Compound: AgH2Pd3
Source: the Alexandria database
Functional: PBE-GGA
Structure: relaxed

- energy above the most stable polymorph in this dataset (meV/atom) = 0.0

Cell and atoms, written as CIF:
```
data_AgH2Pd3
_chemical_formula_sum 'Ag2 H4 Pd6'
_cell_length_a 5.674
_cell_length_b 8.557
_cell_length_c 2.842
_cell_angle_alpha 90.00
_cell_angle_beta 90.00
_cell_angle_gamma 90.00
_symmetry_space_group_name_H-M 'C m m m'
_symmetry_Int_Tables_number 65
_symmetry_space_group_name_Hall '-C 2 2'
loop_
_atom_site_label
_atom_site_type_symbol
_atom_site_fract_x
_atom_site_fract_y
_atom_site_fract_z
Ag1 Ag 0.000 0.000 0.000
H1 H 0.000 0.285 0.000
Pd1 Pd 0.000 0.500 0.000
Pd2 Pd 0.250 0.250 0.500
```

***

2.
Compound: Ag2HPd5
Source: the Alexandria database
Functional: PBE-GGA
Structure: relaxed

- uncorrected energy (eV per atom) = -4.410

Cell and atoms, written as CIF:
```
data_Ag2HPd5
_chemical_formula_sum 'Ag8 H4 Pd20'
_cell_length_a 8.606
_cell_length_b 5.698
_cell_length_c 9.467
_cell_angle_alpha 90.00
_cell_angle_beta 95.98
_cell_angle_gamma 90.00
_symmetry_space_group_name_H-M 'P 1 21/c 1'
_symmetry_Int_Tables_number 14
loop_
_symmetry_equiv_pos_as_xyz
'x,y,z'
'-x,-y,-z'
'-x,y+1/2,-z+1/2'
'x,-y+1/2,z+1/2'
loop_
_atom_site_label
_atom_site_type_symbol
_atom_site_fract_x
_atom_site_fract_y
_atom_site_fract_z
Ag1 Ag 0.002 0.125 0.248
Ag2 Ag 0.290 0.619 0.824
H1 H 0.247 0.554 0.159
Pd1 Pd 0.140 0.133 0.533
Pd2 Pd 0.143 0.625 0.535
Pd3 Pd 0.290 0.121 0.823
Pd4 Pd 0.425 0.126 0.103
Pd5 Pd 0.432 0.632 0.107
```